[1]
A plane-wave DFT calculation with PBE was carried out for PuInGaBi after structural relaxation.

The total energy is -25.04 eV per formula unit. Its symmetry is No. 47. The energy of formation is -0.266 eV per atom.

Cell and atoms, written as extended XYZ:
```
4
Lattice="4.501 0.000 0.000 0.000 4.674 0.000 0.000 0.000 4.774" Properties=species:S:1:pos:R:3 pbc="T T T"
Pu 0.000 0.000 0.000
In 0.000 2.337 2.387
Ga 2.250 0.000 2.387
Bi 2.250 2.337 0.000
```


[2]
A plane-wave DFT calculation with PBE was carried out for RbInGa2Bi after structural relaxation.

The total energy is -14.27 eV per formula unit. Its symmetry is No. 44. The energy of formation is -0.126 eV per atom.

Cell and atoms, written as extended XYZ:
```
5
Lattice="-2.513 2.642 5.736 2.513 -2.642 5.736 2.513 2.642 -5.736" Properties=species:S:1:pos:R:3 pbc="T T T"
Rb 0.000 0.000 0.000
In 2.513 0.000 2.725
Ga 0.000 0.000 7.480
Ga 0.000 2.642 2.847
Bi 0.000 0.000 4.531
```